Below is SbRhPb2 after structural relaxation, with properties calculated at the GGA-PBE level.

Values from the calculation:
- Uncorrected formation energy: -0.1027 eV per atom
- VASP energy: -4.825 eV per atom

POSCAR file:
```
SbRhPb2
1.0
2.140 4.106 0.050
-2.140 4.106 0.050
0.000 2.476 6.399
Sb Pb Rh
1 2 1
Cartesian
0.000 2.616 2.420
0.000 8.178 4.383
0.000 8.227 0.608
0.000 5.226 2.441
```

***

Below is SbRhPb2 after structural relaxation, with properties calculated at the GGA-PBE level.

Values from the calculation:
- Uncorrected formation energy: -0.0708 eV per atom
- VASP energy: -4.793 eV per atom

POSCAR file:
```
SbRhPb2
1.0
9.693 -1.760 0.038
9.693 1.760 0.038
9.361 0.000 3.068
Rh Pb Sb
1 2 1
Cartesian
14.570 0.000 1.593
22.040 0.000 2.410
28.662 0.000 3.134
6.594 0.000 0.721
```